A relaxed structure of SrSeCl. Source: the Alexandria database, functional PBE-GGA.

Lattice parameters (Å, degrees): 7.2594 7.2594 7.2594 90.00 90.00 90.00
Space group F-43m (No. 216)
Inequivalent atoms, fractional coordinates:
Sr 0.0000 0.0000 0.0000 (multiplicity 4)
Se 0.2500 0.2500 0.2500 (multiplicity 4)
Cl 0.2500 0.2500 0.7500 (multiplicity 4)

Values from the calculation:
Energy relative to the elements, uncorrected ... -1446 meV/atom
E ... -0.1391 hartree per atom
ρ ... 3.51 g cm⁻³